No. 1
## NpScS3 (PBE-GGA)

Data for a relaxed NpScS3 crystal.

Values from the calculation:
**N(E_F)**: 29.9 states/eV/cell
**V**: 19.9 Å³/atom

Unit cell a=3.825 b=7.186 c=14.484 alpha=90.00 beta=90.00 gamma=90.00
Last column: magnetic moment on the atom in μB.
Atoms (fractional coordinates):
Np (0.750, 0.859, 0.797)  3.76
Np (0.250, 0.141, 0.203)  3.76
Np (0.750, 0.359, 0.703)  3.76
Np (0.250, 0.641, 0.297)  3.76
Sc (0.250, 0.269, 0.957)  0.08
Sc (0.250, 0.769, 0.543)  0.08
Sc (0.750, 0.231, 0.457)  0.08
Sc (0.750, 0.731, 0.043)  0.08
S (0.250, 0.372, 0.560)  -0.05
S (0.750, 0.853, 0.216)  -0.09
S (0.750, 0.487, 0.896)  -0.04
S (0.750, 0.987, 0.604)  -0.04
S (0.750, 0.628, 0.440)  -0.05
S (0.250, 0.013, 0.396)  -0.04
S (0.250, 0.872, 0.940)  -0.05
S (0.750, 0.353, 0.284)  -0.09
S (0.250, 0.647, 0.716)  -0.09
S (0.250, 0.147, 0.784)  -0.09
S (0.750, 0.128, 0.060)  -0.05
S (0.250, 0.513, 0.104)  -0.04

No. 2
## Np2Sc2S7 (PBE-GGA)

Data for a relaxed Np2Sc2S7 crystal.

Values from the calculation:
**N(E_F)**: 18.0 states/eV/cell
**V**: 19.5 Å³/atom

Unit cell a=3.800 b=8.182 c=8.182 alpha=61.32 beta=76.57 gamma=76.57
Last column: magnetic moment on the atom in μB.
Atoms (fractional coordinates):
Np (0.741, 0.850, 0.669)  3.30
Np (0.259, 0.331, 0.150)  3.30
Sc (0.000, 0.790, 0.210)  0.01
Sc (0.500, 0.325, 0.675)  0.04
S (0.820, 0.069, 0.290)  -0.13
S (0.865, 0.418, 0.851)  -0.10
S (0.500, 0.007, 0.993)  -0.09
S (0.607, 0.495, 0.291)  -0.08
S (0.393, 0.709, 0.505)  -0.08
S (0.180, 0.710, 0.931)  -0.13
S (0.135, 0.149, 0.582)  -0.10

No. 3
## Np3ScS6 (PBE-GGA)

Data for a relaxed Np3ScS6 crystal.

Values from the calculation:
**N(E_F)**: 54.2 states/eV/cell
**V**: 23.0 Å³/atom

Unit cell a=7.836 b=7.836 c=7.836 alpha=99.09 beta=99.09 gamma=99.09
Last column: magnetic moment on the atom in μB.
Atoms (fractional coordinates):
Np (0.116, 0.624, 0.292)  3.84
Np (0.292, 0.116, 0.624)  3.84
Np (0.376, 0.708, 0.884)  3.84
Np (0.624, 0.292, 0.116)  3.84
Np (0.708, 0.884, 0.376)  3.84
Np (0.884, 0.376, 0.708)  3.84
Sc (0.000, 0.000, 0.000)  0.07
Sc (0.500, 0.500, 0.500)  0.36
S (0.040, 0.681, 0.937)  -0.09
S (0.063, 0.960, 0.319)  -0.09
S (0.187, 0.426, 0.567)  -0.10
S (0.319, 0.063, 0.960)  -0.09
S (0.426, 0.567, 0.187)  -0.10
S (0.433, 0.813, 0.574)  -0.10
S (0.567, 0.187, 0.426)  -0.10
S (0.574, 0.433, 0.813)  -0.10
S (0.681, 0.937, 0.040)  -0.09
S (0.813, 0.574, 0.433)  -0.10
S (0.937, 0.040, 0.681)  -0.09
S (0.960, 0.319, 0.063)  -0.09

No. 4
## NpScSeS (PBE-GGA)

Data for a relaxed NpScSeS crystal.

Values from the calculation:
**N(E_F)**: 9.6 states/eV/cell
**V**: 20.9 Å³/atom

Unit cell a=3.845 b=3.845 c=6.884 alpha=73.78 beta=73.78 gamma=60.00
Last column: magnetic moment on the atom in μB.
Atoms (fractional coordinates):
Np (0.993, 0.993, 0.021)  4.03
Sc (0.507, 0.507, 0.478)  0.02
Se (0.756, 0.756, 0.732)  -0.03
S (0.244, 0.244, 0.269)  -0.04

No. 5
## SmNp2ScS4 (PBE-GGA)

Data for a relaxed SmNp2ScS4 crystal.

Values from the calculation:
**N(E_F)**: 18.7 states/eV/cell
**V**: 20.8 Å³/atom

Unit cell a=3.890 b=6.790 c=6.671 alpha=109.58 beta=90.00 gamma=90.00
Last column: magnetic moment on the atom in μB.
Atoms (fractional coordinates):
Sm (0.500, 0.500, 0.000)  0.04
Np (0.500, 0.000, 0.500)  -3.74
Np (0.000, 0.500, 0.500)  3.91
Sc (0.000, 0.000, 0.000)  -0.09
S (0.500, 0.237, 0.241)  -0.01
S (0.500, 0.763, 0.759)  -0.01
S (0.000, 0.238, 0.750)  0.03
S (0.000, 0.762, 0.250)  0.03

No. 6
## Tb2NpScS4 (PBE-GGA)

Data for a relaxed Tb2NpScS4 crystal.

Values from the calculation:
**N(E_F)**: 10.6 states/eV/cell
**V**: 20.5 Å³/atom

Unit cell a=3.862 b=6.686 c=6.716 alpha=109.28 beta=90.00 gamma=90.00
Last column: magnetic moment on the atom in μB.
Atoms (fractional coordinates):
Tb (0.500, 0.000, 0.500)  0.08
Tb (0.000, 0.500, 0.500)  -0.01
Np (0.000, 0.000, 0.000)  3.89
Sc (0.500, 0.500, 0.000)  0.11
S (0.500, 0.255, 0.243)  -0.04
S (0.500, 0.745, 0.757)  -0.04
S (0.000, 0.261, 0.762)  -0.02
S (0.000, 0.739, 0.238)  -0.02

No. 7
## Tb3Np3ScS8 (PBE-GGA)

Data for a relaxed Tb3Np3ScS8 crystal.

Values from the calculation:
**N(E_F)**: 30.8 states/eV/cell
**V**: 22.4 Å³/atom

Unit cell a=7.794 b=7.793 c=7.805 alpha=119.95 beta=90.00 gamma=119.99
Last column: magnetic moment on the atom in μB.
Atoms (fractional coordinates):
Tb (0.000, 0.000, 0.000)  0.04
Tb (0.000, 0.500, 0.000)  0.04
Tb (0.500, 0.500, 0.000)  0.04
Np (0.500, 0.000, 0.500)  3.95
Np (0.500, 0.500, 0.500)  3.95
Np (0.000, 0.500, 0.500)  3.95
Sc (0.000, 0.000, 0.500)  0.20
S (0.250, 0.501, 0.251)  -0.06
S (0.750, 0.499, 0.749)  -0.06
S (0.758, 0.517, 0.258)  -0.04
S (0.242, 0.483, 0.742)  -0.04
S (0.758, 0.000, 0.258)  -0.04
S (0.242, 0.000, 0.742)  -0.04
S (0.242, 0.000, 0.258)  -0.04
S (0.758, 0.000, 0.742)  -0.04

No. 8
## TbNpSc2S4 (PBE-GGA)

Data for a relaxed TbNpSc2S4 crystal.

Values from the calculation:
**N(E_F)**: 10.9 states/eV/cell
**V**: 19.5 Å³/atom

Unit cell a=3.792 b=6.604 c=6.593 alpha=109.18 beta=90.00 gamma=90.00
Last column: magnetic moment on the atom in μB.
Atoms (fractional coordinates):
Tb (0.500, 0.500, 0.000)  0.08
Np (0.000, 0.000, 0.000)  3.95
Sc (0.500, 0.000, 0.500)  0.10
Sc (0.000, 0.500, 0.500)  -0.03
S (0.500, 0.255, 0.267)  -0.04
S (0.500, 0.745, 0.733)  -0.04
S (0.000, 0.244, 0.732)  -0.01
S (0.000, 0.756, 0.268)  -0.01

Number 1: formation energy from raw total energies -1.625 eV/atom, magnetization 15.8 Bohr magnetons per cell. Number 2: formation energy from raw total energies -1.471 eV/atom, magnetization 6.0 Bohr magnetons per cell. Number 3: formation energy from raw total energies -1.474 eV/atom, magnetization 24.0 Bohr magnetons per cell. Number 4: formation energy from raw total energies -1.476 eV/atom, magnetization 4.4 Bohr magnetons per cell. Number 5: formation energy from raw total energies -1.621 eV/atom, magnetization 0.2 Bohr magnetons per cell. Number 6: formation energy from raw total energies -1.805 eV/atom, magnetization 4.5 Bohr magnetons per cell. Number 7: formation energy from raw total energies -1.752 eV/atom, magnetization 13.2 Bohr magnetons per cell. Number 8: formation energy from raw total energies -1.774 eV/atom, magnetization 4.5 Bohr magnetons per cell.